No. 1
Material: YTcAs
Method: DFT, PBE
State: relaxed

ΔE_f	-0.2120	eV per atom
SG	F-43m (216)
E above lowest polymorph	276.5	meV/atom
calculated volume	64	Å³ per cell
total magnetic moment	1.40	Bohr magnetons per cell
total energy	-7.372	eV per atom

a = 4.484 Å, b = 4.484 Å, c = 4.484 Å
α = 60.00°, β = 60.00°, γ = 60.00°
Each line ends with the local moment (μB).
Atoms (fractional coordinates):
Y: 0.500 0.500 0.500  0.03
Tc: 0.000 0.000 0.000  1.15
As: 0.750 0.750 0.750  0.00

No. 2
Material: YTc2As
Method: DFT, PBE
State: relaxed

ΔE_f	-0.0333	eV per atom
SG	P1 (1)
E above lowest polymorph	325.6	meV/atom
calculated volume	72	Å³ per cell
total magnetic moment	0.00	Bohr magnetons per cell
total energy	-7.995	eV per atom

a = 5.253 Å, b = 5.701 Å, c = 5.900 Å
α = 147.60°, β = 130.45°, γ = 58.83°
Atoms (fractional coordinates):
As: 0.747 0.245 0.439
Tc: 0.984 0.986 0.977
Tc: 0.278 0.767 0.591
Y: 0.491 0.502 0.993

No. 3
Material: Y2TcAs
Method: DFT, PBE
State: relaxed

ΔE_f	-0.3192	eV per atom
SG	P4mm (99)
E above lowest polymorph	304.7	meV/atom
calculated volume	90	Å³ per cell
total magnetic moment	0.00	Bohr magnetons per cell
total energy	-7.305	eV per atom

a = 3.322 Å, b = 3.322 Å, c = 8.159 Å
α = 90.00°, β = 90.00°, γ = 90.00°
Atoms (fractional coordinates):
Y: 0.000 0.000 0.939
Y: 0.500 0.500 0.311
Tc: 0.500 0.500 0.694
As: 0.000 0.000 0.556

No. 4
Material: Y2TcAs
Method: DFT, PBE
State: relaxed

ΔE_f	-0.1107	eV per atom
SG	F-43m (216)
E above lowest polymorph	513.2	meV/atom
calculated volume	80	Å³ per cell
total magnetic moment	0.00	Bohr magnetons per cell
total energy	-7.097	eV per atom

a = 4.832 Å, b = 4.832 Å, c = 4.832 Å
α = 60.00°, β = 60.00°, γ = 60.00°
Atoms (fractional coordinates):
Y: 0.250 0.250 0.250
Y: 0.000 0.000 0.000
As: 0.500 0.500 0.500
Tc: 0.750 0.750 0.750

No. 5
Material: YTcAs2
Method: DFT, PBE
State: relaxed

ΔE_f	-0.2236	eV per atom
SG	I-42d (122)
E above lowest polymorph	388.4	meV/atom
calculated volume	206	Å³ per cell
total magnetic moment	0.00	Bohr magnetons per cell
total energy	-6.756	eV per atom

a = 5.491 Å, b = 5.491 Å, c = 7.861 Å
α = 69.56°, β = 69.56°, γ = 90.00°
Atoms (fractional coordinates):
As: 0.702 0.125 0.250
As: 0.375 0.298 0.750
As: 0.048 0.625 0.250
As: 0.875 0.952 0.750
Tc: 0.750 0.250 0.500
Tc: 0.000 0.000 0.000
Y: 0.500 0.500 0.000
Y: 0.250 0.750 0.500

No. 6
Material: Y2TcAs
Method: DFT, PBE
State: relaxed

ΔE_f	-0.2978	eV per atom
SG	R-3m (166)
E above lowest polymorph	326.1	meV/atom
calculated volume	94	Å³ per cell
total magnetic moment	0.00	Bohr magnetons per cell
total energy	-7.284	eV per atom

a = 8.062 Å, b = 8.062 Å, c = 8.062 Å
α = 26.75°, β = 26.75°, γ = 26.75°
Atoms (fractional coordinates):
As: 0.250 0.250 0.250
Y: 0.503 0.503 0.503
Y: 0.997 0.997 0.997
Tc: 0.750 0.750 0.750

total energy of number 1 (YTcAs)?
-7.372 eV per atom

What is the total magnetic moment in the second record?
0.00 Bohr magnetons per cell

What did the fourth record say?
Material: Y2TcAs
Method: DFT, PBE
State: relaxed

ΔE_f	-0.1107	eV per atom
SG	F-43m (216)
E above lowest polymorph	513.2	meV/atom
calculated volume	80	Å³ per cell
total magnetic moment	0.00	Bohr magnetons per cell
total energy	-7.097	eV per atom

a = 4.832 Å, b = 4.832 Å, c = 4.832 Å
α = 60.00°, β = 60.00°, γ = 60.00°
Atoms (fractional coordinates):
Y: 0.250 0.250 0.250
Y: 0.000 0.000 0.000
As: 0.500 0.500 0.500
Tc: 0.750 0.750 0.750

Among the records above, which one has the highest ΔE_f?
YTc2As